[1]
A plane-wave DFT calculation with GGA-PBE was carried out for LiTiRhAu after structural relaxation.

a b c (Å): 4.386 4.386 4.386
angles (deg): 60.00 60.00 60.00
Fractional positions:
Rh 0.000 0.000 0.000
Li 0.750 0.750 0.750
Au 0.500 0.500 0.500
Ti 0.250 0.250 0.250

Raw total energy in eV/atom: -5.59
Crystal system: cubic
Symmetry: F-43m (216)
DOS at the Fermi energy in states/eV/cell: 2.4

[2]
A plane-wave DFT calculation with GGA-PBE was carried out for PmNpTl after structural relaxation.

a b c (Å): 3.575 5.776 8.682
angles (deg): 102.88 101.88 108.03
Fractional positions:
Np 0.848 0.651 0.546
Np 0.152 0.349 0.454
Tl 0.290 0.818 0.262
Tl 0.710 0.182 0.738
Pm 0.552 0.713 0.892
Pm 0.448 0.287 0.108

Raw total energy in eV/atom: -6.67
Crystal system: monoclinic
Symmetry: C2/m (12)
DOS at the Fermi energy in states/eV/cell: 8.8

[3]
A plane-wave DFT calculation with GGA-PBE was carried out for La2Pr2Sn2O after structural relaxation.

a b c (Å): 4.849 4.849 9.409
angles (deg): 104.93 104.93 90.00
Fractional positions:
La 0.173 0.173 0.347
La 0.827 0.827 0.653
Pr 0.000 0.500 0.000
Pr 0.500 0.000 0.000
Sn 0.363 0.363 0.726
Sn 0.637 0.637 0.274
O 0.000 0.000 0.000

Raw total energy in eV/atom: -5.92
Crystal system: tetragonal
Symmetry: I4/mmm (139)
DOS at the Fermi energy in states/eV/cell: 6.1

[4]
A plane-wave DFT calculation with GGA-PBE was carried out for Mg3Zn2GaAg3 after structural relaxation.

a b c (Å): 2.972 7.856 7.856
angles (deg): 120.00 90.00 90.00
Fractional positions:
Mg 0.500 0.700 0.000
Mg 0.500 0.000 0.700
Mg 0.500 0.300 0.300
Zn 0.500 0.667 0.333
Zn 0.500 0.333 0.667
Ga 0.000 0.000 0.000
Ag 0.000 0.629 0.629
Ag 0.000 0.000 0.371
Ag 0.000 0.371 0.000

Raw total energy in eV/atom: -2.21
Crystal system: hexagonal
Symmetry: P-62m (189)
DOS at the Fermi energy in states/eV/cell: 2.6

[5]
A plane-wave DFT calculation with GGA-PBE was carried out for TmSc2Tc after structural relaxation.

a b c (Å): 3.234 3.234 10.508
angles (deg): 81.15 81.15 60.00
Fractional positions:
Sc 0.105 0.105 0.686
Sc 0.895 0.895 0.314
Tm 0.000 0.000 0.000
Tc 0.500 0.500 0.500

Raw total energy in eV/atom: -6.73
Crystal system: trigonal
Symmetry: R-3m (166)
Excess energy over the best structure of this formula in the dataset in meV per atom: 323.2
DOS at the Fermi energy in states/eV/cell: 6.5

[6]
A plane-wave DFT calculation with GGA-PBE was carried out for Zr2MnFeH after structural relaxation.

a b c (Å): 4.517 4.517 3.291
angles (deg): 90.00 90.00 90.00
Fractional positions:
H 0.000 0.000 0.000
Mn 0.500 0.500 0.500
Fe 0.000 0.000 0.500
Zr 0.000 0.500 0.000
Zr 0.500 0.000 0.000

Raw total energy in eV/atom: -7.77
Crystal system: tetragonal
Symmetry: P4/mmm (123)
Excess energy over the best structure of this formula in the dataset in meV per atom: 3.1
DOS at the Fermi energy in states/eV/cell: 3.2